Entry 1:
A relaxed structure of Zn2SbAs, computed with GGA-PBEsol.

Cell: 3.8795 3.9249 5.0572 Å, 90.00 90.00 90.00°
Atoms (fractional coordinates):
Sb  0.0000  0.5000  0.5000
Zn  0.5000  0.0000  0.5000
Zn  0.0000  0.0000  0.0000
As  0.5000  0.5000  0.0000

Calculated values
The calculation puts the magnetization at 0.00 μB per cell. The space group is Pmmm. The value obtained for the energy relative to the elements, uncorrected is 21.2 kJ/mol of atoms. The value obtained for the electronic total energy is -11.95 eV for the cell shown.



Entry 2:
A relaxed structure of ZnSbAs2, computed with GGA-PBEsol.

Cell: 3.5830 3.5830 6.1312 Å, 90.00 90.00 90.00°
Atoms (fractional coordinates):
As  0.0000  0.0000  0.2913
As  0.0000  0.0000  0.7087
Sb  0.5000  0.5000  0.0000
Zn  0.5000  0.5000  0.5000

Calculated values
The relative energy among the computed polymorphs comes out at 0 meV/atom. The calculation puts the magnetization at 0.00 μB per cell. The space group is P4/mmm. The value obtained for the energy relative to the elements, uncorrected is 23.0 kJ/mol of atoms. The value obtained for the electronic total energy is -15.40 eV for the cell shown.



Entry 3:
A relaxed structure of ZnSb2As, computed with GGA-PBEsol.

Cell: 4.0083 4.0083 5.7288 Å, 90.00 90.00 90.00°
Atoms (fractional coordinates):
As  0.5000  0.5000  0.8606
Zn  0.0000  0.0000  0.3726
Sb  0.5000  0.5000  0.3876
Sb  0.0000  0.0000  0.8791

Calculated values
The relative energy among the computed polymorphs comes out at 0 meV/atom. The calculation puts the magnetization at 0.00 μB per cell. The space group is P4mm. The value obtained for the energy relative to the elements, uncorrected is 7.7 kJ/mol of atoms. The value obtained for the electronic total energy is -15.48 eV for the cell shown.



Entry 4:
A relaxed structure of Zn3SbAs, computed with GGA-PBEsol.

Cell: 4.7732 4.7732 4.7732 Å, 90.00 90.00 90.00°
Atoms (fractional coordinates):
Sb  0.5000  0.5000  0.5000
Zn  0.0000  0.0000  0.5000
Zn  0.0000  0.5000  0.0000
Zn  0.5000  0.0000  0.0000
As  0.0000  0.0000  0.0000

Calculated values
The calculation puts the magnetization at 0.00 μB per cell. The space group is Pm-3m. The value obtained for the energy relative to the elements, uncorrected is 39.5 kJ/mol of atoms. The value obtained for the electronic total energy is -12.36 eV for the cell shown.



Entry 5:
A relaxed structure of Zn2SbAs2, computed with GGA-PBEsol.

Cell: 4.1123 4.1123 6.4321 Å, 108.64 108.64 90.00°
Atoms (fractional coordinates):
Zn  0.6048  0.6048  0.2096
Zn  0.3952  0.3952  0.7904
Sb  0.0000  0.0000  0.0000
As  0.7500  0.2500  0.5000
As  0.2500  0.7500  0.5000

Calculated values
The calculation puts the magnetization at 0.00 μB per cell. The space group is I4/mmm. The value obtained for the energy relative to the elements, uncorrected is 22.4 kJ/mol of atoms. The value obtained for the electronic total energy is -16.78 eV for the cell shown.



Entry 6:
A relaxed structure of ZnSbAs2, computed with GGA-PBEsol.

Cell: 3.9912 5.4620 5.0587 Å, 122.67 113.23 90.00°
Atoms (fractional coordinates):
As  0.7108  0.7108  0.4217
As  0.2892  0.2892  0.5783
Zn  0.0000  0.5000  0.0000
Sb  0.5000  0.0000  0.0000

Calculated values
The relative energy among the computed polymorphs comes out at 22 meV/atom. The calculation puts the magnetization at 0.00 μB per cell. The space group is Immm. The value obtained for the energy relative to the elements, uncorrected is 25.1 kJ/mol of atoms. The value obtained for the electronic total energy is -15.31 eV for the cell shown.



Entry 7:
A relaxed structure of ZnSb2As, computed with GGA-PBEsol.

Cell: 3.2384 3.2384 8.7863 Å, 90.00 90.00 108.41°
Atoms (fractional coordinates):
Sb  0.0000  0.0000  0.0194
Sb  0.5000  0.5000  0.7164
As  0.5000  0.5000  0.2859
Zn  0.0000  0.0000  0.4783

Calculated values
The relative energy among the computed polymorphs comes out at 144 meV/atom. The calculation puts the magnetization at 0.00 μB per cell. The space group is Cmm2. The value obtained for the energy relative to the elements, uncorrected is 21.6 kJ/mol of atoms. The value obtained for the electronic total energy is -14.91 eV for the cell shown.



Entry 8:
A relaxed structure of ZnSbAs2, computed with GGA-PBEsol.

Cell: 3.2359 3.2359 7.9896 Å, 90.00 90.00 107.05°
Atoms (fractional coordinates):
Sb  0.0000  0.0000  0.4892
Zn  0.5000  0.5000  0.2267
As  0.5000  0.5000  0.7730
As  0.0000  0.0000  0.0111

Calculated values
The relative energy among the computed polymorphs comes out at 61 meV/atom. The calculation puts the magnetization at 0.00 μB per cell. The space group is Cmm2. The value obtained for the energy relative to the elements, uncorrected is 28.8 kJ/mol of atoms. The value obtained for the electronic total energy is -15.16 eV for the cell shown.